A plane-wave DFT calculation with PBE was carried out for a geometry-optimized PaTiTcO6 structure.

a = 5.4198 Å, b = 5.4198 Å, c = 8.5772 Å
α = 90.00°, β = 90.00°, γ = 120.00°
Space group P-31c (No. 163)
Unique sites:
Pa  0.3333  0.6667  0.2500
Ti  0.3333  0.6667  0.7500
Tc  0.0000  0.0000  0.0000
O  0.0282  0.3444  0.6271

Output
- Magnetization: 3.949 Bohr magnetons per cell
- Formation energy without anion corrections: -22.531 eV/f.u.

A plane-wave DFT calculation with PBE was carried out for a geometry-optimized Pa3Tl2TcO12 structure.

a = 8.0081 Å, b = 8.0081 Å, c = 19.0170 Å
α = 90.00°, β = 90.00°, γ = 120.00°
Space group R-3m (No. 166, hexagonal axes)
Unique sites:
Pa  0.0000  0.5000  0.0000
Tl  0.0000  0.0000  0.0963
Tc  0.0000  0.0000  0.5000
O  0.0710  0.5355  0.3582
O  0.1095  0.5548  0.1098

Output
- Magnetization: 0.000 Bohr magnetons per cell
- Formation energy without anion corrections: -44.455 eV/f.u.

A plane-wave DFT calculation with PBE was carried out for a geometry-optimized PaTlTc2O8 structure.

a = 5.9975 Å, b = 5.9975 Å, c = 7.8571 Å
α = 90.00°, β = 90.00°, γ = 120.00°
Space group P-3 (No. 147)
Unique sites:
Pa  0.0000  0.0000  0.0000
Tl  0.0000  0.0000  0.5000
Tc  0.3333  0.6667  0.2604
O  0.1643  0.3351  0.1677
O  0.3333  0.6667  0.4818

Output
- Magnetization: 4.037 Bohr magnetons per cell
- Formation energy without anion corrections: -21.833 eV/f.u.

A plane-wave DFT calculation with PBE was carried out for a geometry-optimized PaTl2TcO8 structure.

a = 5.1024 Å, b = 6.7031 Å, c = 5.1028 Å
α = 90.00°, β = 90.31°, γ = 90.00°
Space group P2/m (No. 10)
Unique sites:
Pa  0.0000  0.0000  0.0000
Tl  0.5000  0.2590  0.5000
Tc  0.0000  0.5000  0.0000
O  0.1846  0.2695  0.1832
O  0.2540  0.5000  0.7441
O  0.2905  0.0000  0.7082

Output
- Magnetization: 0.143 Bohr magnetons per cell
- Formation energy without anion corrections: -19.801 eV/f.u.

A plane-wave DFT calculation with PBE was carried out for a geometry-optimized Tm2PaTcO8 structure.

a = 6.9616 Å, b = 7.1258 Å, c = 6.7271 Å
α = 90.00°, β = 90.00°, γ = 90.00°
Space group Cmmm (No. 65)
Unique sites:
Tm  0.0000  0.0000  0.2420
Pa  0.0000  0.5000  0.5000
Tc  0.0000  0.5000  0.0000
O  0.0000  0.3148  0.2307
O  0.1966  0.0000  0.5000
O  0.2216  0.0000  0.0000

Output
- Magnetization: 4.000 Bohr magnetons per cell
- Formation energy without anion corrections: -35.184 eV/f.u.